! ZrFe2N2 (PBE, relaxed); values from VASP
! - total magnetic moment (μB per atom) = 0.00
! - space group = P-3m1
! - DOS at the Fermi energy (states/eV per cell) = 2.399
! - ΔE_f (raw) (eV/atom) = -0.513
&SYSTEM
  ibrav = 0, nat = 5, ntyp = 3
/
ATOMIC_SPECIES
Zr 91.22 Zr.upf
Fe 55.84 Fe.upf
N 14.01 N.upf
CELL_PARAMETERS angstrom
-2.260 1.270 1.584
0.628 -2.952 0.349
4.182 1.456 4.801
ATOMIC_POSITIONS angstrom
Zr 0.000 0.000 0.000
Fe 0.133 0.361 2.815
Fe 2.416 -0.587 3.918
N 1.926 0.985 4.873
N 0.623 -1.211 1.861

---

! NaFe4 (PBE, relaxed); values from VASP
! - total magnetic moment (μB per atom) = 2.28
! - formation energy (eV per atom) = 2.04
! - space group = Pm-3m
! - DOS at the Fermi energy (states/eV per cell) = 6.968
&SYSTEM
  ibrav = 0, nat = 5, ntyp = 2
/
ATOMIC_SPECIES
Na 22.99 Na.upf
Fe 55.84 Fe.upf
CELL_PARAMETERS angstrom
4.345 0.000 0.000
0.000 4.345 0.000
0.000 0.000 4.345
ATOMIC_POSITIONS angstrom
Na 2.172 2.172 2.172
Fe 0.000 0.000 0.000
Fe 0.000 2.172 2.172
Fe 2.172 2.172 0.000
Fe 2.172 0.000 2.172

---

! Na4Fe (PBE, relaxed); values from VASP
! - total magnetic moment (μB per atom) = 0.60
! - formation energy (eV per atom) = 0.69
! - space group = Pm-3m
! - DOS at the Fermi energy (states/eV per cell) = 4.526
&SYSTEM
  ibrav = 0, nat = 5, ntyp = 2
/
ATOMIC_SPECIES
Fe 55.84 Fe.upf
Na 22.99 Na.upf
CELL_PARAMETERS angstrom
5.764 0.000 0.000
0.000 5.764 0.000
0.000 0.000 5.764
ATOMIC_POSITIONS angstrom
Fe 2.882 2.882 2.882
Na 2.882 2.882 0.000
Na 2.882 0.000 2.882
Na 0.000 2.882 2.882
Na 0.000 0.000 0.000

---

! NaNb2Fe (PBE, relaxed); values from VASP
! - total magnetic moment (μB per atom) = 0.18
! - formation energy (eV per atom) = 0.76
! - ΔE to the lowest computed polymorph (eV/atom) = 0.000
! - space group = Fm-3m
! - DOS at the Fermi energy (states/eV per cell) = 4.552
&SYSTEM
  ibrav = 0, nat = 4, ntyp = 3
/
ATOMIC_SPECIES
Na 22.99 Na.upf
Nb 92.91 Nb.upf
Fe 55.84 Fe.upf
CELL_PARAMETERS angstrom
0.000 3.180 3.180
3.180 0.000 3.180
3.180 3.180 0.000
ATOMIC_POSITIONS angstrom
Na 0.000 0.000 0.000
Nb 4.771 4.771 4.771
Nb 1.590 1.590 1.590
Fe 3.180 3.180 3.180

---

! NaNb3Fe (PBE, relaxed); values from VASP
! - total magnetic moment (μB per atom) = 0.00
! - formation energy (eV per atom) = 2.53
! - ΔE to the lowest computed polymorph (eV/atom) = 1.666
! - space group = Pm-3m
! - DOS at the Fermi energy (states/eV per cell) = 10.172
&SYSTEM
  ibrav = 0, nat = 5, ntyp = 3
/
ATOMIC_SPECIES
Fe 55.84 Fe.upf
Nb 92.91 Nb.upf
Na 22.99 Na.upf
CELL_PARAMETERS angstrom
4.599 0.000 0.000
0.000 4.599 0.000
0.000 0.000 4.599
ATOMIC_POSITIONS angstrom
Fe 2.300 2.300 2.300
Nb 0.000 2.300 0.000
Nb 2.300 0.000 0.000
Nb 0.000 0.000 2.300
Na 0.000 0.000 0.000

---

! NaNb3Fe (PBE, relaxed); values from VASP
! - total magnetic moment (μB per atom) = 0.00
! - formation energy (eV per atom) = 0.86
! - ΔE to the lowest computed polymorph (eV/atom) = 0.000
! - space group = Pm-3m
! - DOS at the Fermi energy (states/eV per cell) = 6.635
&SYSTEM
  ibrav = 0, nat = 5, ntyp = 3
/
ATOMIC_SPECIES
Na 22.99 Na.upf
Nb 92.91 Nb.upf
Fe 55.84 Fe.upf
CELL_PARAMETERS angstrom
4.691 0.000 0.000
0.000 4.691 0.000
0.000 0.000 4.691
ATOMIC_POSITIONS angstrom
Na 2.346 2.346 2.346
Nb 0.000 0.000 2.346
Nb 0.000 2.346 0.000
Nb 2.346 0.000 0.000
Fe 0.000 0.000 0.000

---

! NaNbFe3 (PBE, relaxed); values from VASP
! - total magnetic moment (μB per atom) = 1.10
! - formation energy (eV per atom) = 1.32
! - ΔE to the lowest computed polymorph (eV/atom) = 0.000
! - space group = Pm-3m
! - DOS at the Fermi energy (states/eV per cell) = 6.438
&SYSTEM
  ibrav = 0, nat = 5, ntyp = 3
/
ATOMIC_SPECIES
Fe 55.84 Fe.upf
Na 22.99 Na.upf
Nb 92.91 Nb.upf
CELL_PARAMETERS angstrom
4.656 0.000 0.000
0.000 4.656 0.000
0.000 0.000 4.656
ATOMIC_POSITIONS angstrom
Fe 0.000 2.328 0.000
Fe 0.000 0.000 2.328
Fe 2.328 0.000 0.000
Na 2.328 2.328 2.328
Nb 0.000 0.000 0.000

---

! NaNb2Fe (PBE, relaxed); values from VASP
! - total magnetic moment (μB per atom) = 0.00
! - formation energy (eV per atom) = 1.21
! - ΔE to the lowest computed polymorph (eV/atom) = 0.452
! - space group = I-42d
! - DOS at the Fermi energy (states/eV per cell) = 14.935
&SYSTEM
  ibrav = 0, nat = 8, ntyp = 3
/
ATOMIC_SPECIES
Nb 92.91 Nb.upf
Fe 55.84 Fe.upf
Na 22.99 Na.upf
CELL_PARAMETERS angstrom
3.931 0.000 0.000
0.000 3.931 0.000
1.965 1.965 9.353
ATOMIC_POSITIONS angstrom
Nb 0.888 2.948 2.338
Nb 2.948 2.854 7.015
Nb 3.043 0.983 2.338
Nb 4.913 5.008 7.015
Fe 3.931 1.965 4.676
Fe 0.000 0.000 0.000
Na 1.965 3.931 4.676
Na 1.965 1.965 0.000

---

! Na2NbFeNi (PBE, relaxed); values from VASP
! - total magnetic moment (μB per atom) = 0.02
! - formation energy (eV per atom) = 1.62
! - space group = P4/mmm
! - DOS at the Fermi energy (states/eV per cell) = 11.319
&SYSTEM
  ibrav = 0, nat = 5, ntyp = 4
/
ATOMIC_SPECIES
Nb 92.91 Nb.upf
Ni 58.69 Ni.upf
Na 22.99 Na.upf
Fe 55.84 Fe.upf
CELL_PARAMETERS angstrom
4.538 0.000 0.000
0.000 4.518 0.000
0.000 0.000 4.538
ATOMIC_POSITIONS angstrom
Nb 2.269 2.259 2.269
Ni 0.000 0.000 0.000
Na 0.000 0.000 2.269
Na 2.269 0.000 0.000
Fe 0.000 2.259 0.000

---

! Rb2NaNbFe (PBE, relaxed); values from VASP
! - total magnetic moment (μB per atom) = 1.48
! - formation energy (eV per atom) = 1.98
! - space group = P4/mmm
! - DOS at the Fermi energy (states/eV per cell) = 10.722
&SYSTEM
  ibrav = 0, nat = 5, ntyp = 4
/
ATOMIC_SPECIES
Nb 92.91 Nb.upf
Fe 55.84 Fe.upf
Na 22.99 Na.upf
Rb 85.47 Rb.upf
CELL_PARAMETERS angstrom
-5.363 1.342 0.688
-1.101 -5.353 1.861
1.070 1.598 5.228
ATOMIC_POSITIONS angstrom
Nb -0.550 -2.676 0.930
Fe -2.697 -1.207 3.888
Na 0.000 0.000 0.000
Rb 0.535 0.799 2.614
Rb -2.681 0.671 0.344

---

! Na2Nb2FeS6 (PBE, relaxed); values from VASP
! - total magnetic moment (μB per atom) = 0.00
! - space group = C2/m
! - ΔE_f (raw) (eV/atom) = -0.923
&SYSTEM
  ibrav = 0, nat = 11, ntyp = 4
/
ATOMIC_SPECIES
Nb 92.91 Nb.upf
S 32.06 S.upf
Na 22.99 Na.upf
Fe 55.84 Fe.upf
CELL_PARAMETERS angstrom
5.992 -0.130 0.063
-3.074 5.144 0.063
-1.021 -1.756 6.982
ATOMIC_POSITIONS angstrom
Nb 2.212 0.894 3.553
Nb -0.316 2.365 3.553
S 1.500 2.579 5.164
S -1.563 0.711 4.868
S 3.459 2.548 2.239
S 1.391 -1.008 4.868
S 0.396 0.681 1.942
S 0.505 4.267 2.239
Na 4.367 0.815 0.063
Na -1.450 4.200 0.063
Fe -0.511 -0.878 3.491

---

! NaNbFe2Si (PBE, relaxed); values from VASP
! - total magnetic moment (μB per atom) = 0.00
! - space group = P4/mmm
! - DOS at the Fermi energy (states/eV per cell) = 5.836
! - ΔE_f (raw) (eV/atom) = 1.736
&SYSTEM
  ibrav = 0, nat = 5, ntyp = 4
/
ATOMIC_SPECIES
Na 22.99 Na.upf
Nb 92.91 Nb.upf
Fe 55.84 Fe.upf
Si 28.09 Si.upf
CELL_PARAMETERS angstrom
4.406 0.000 0.000
0.000 5.250 0.000
0.000 0.000 4.406
ATOMIC_POSITIONS angstrom
Na 0.000 2.625 0.000
Nb 0.000 0.000 0.000
Fe 2.203 0.000 0.000
Fe 0.000 0.000 2.203
Si 2.203 2.625 2.203

---

! NaNbFeW2 (PBE, relaxed); values from VASP
! - total magnetic moment (μB per atom) = 0.51
! - formation energy (eV per atom) = 2.38
! - space group = P4/mmm
! - DOS at the Fermi energy (states/eV per cell) = 3.705
&SYSTEM
  ibrav = 0, nat = 5, ntyp = 4
/
ATOMIC_SPECIES
W 183.84 W.upf
Na 22.99 Na.upf
Fe 55.84 Fe.upf
Nb 92.91 Nb.upf
CELL_PARAMETERS angstrom
-0.426 -4.392 -1.546
1.878 -1.321 3.237
-4.097 -0.384 2.220
ATOMIC_POSITIONS angstrom
W -0.213 -2.196 -0.773
W -2.048 -0.192 1.110
Na 0.000 0.000 0.000
Fe 0.939 -0.661 1.618
Nb -1.323 -3.049 1.955

---

! NaNd3Fe (PBE, relaxed); values from VASP
! - total magnetic moment (μB per atom) = 0.00
! - formation energy (eV per atom) = 0.20
! - space group = Pm-3m
! - DOS at the Fermi energy (states/eV per cell) = 6.453
&SYSTEM
  ibrav = 0, nat = 5, ntyp = 3
/
ATOMIC_SPECIES
Na 22.99 Na.upf
Nd 144.24 Nd.upf
Fe 55.84 Fe.upf
CELL_PARAMETERS angstrom
5.427 0.000 0.000
0.000 5.427 0.000
0.000 0.000 5.427
ATOMIC_POSITIONS angstrom
Na 2.713 2.713 2.713
Nd 0.000 0.000 2.713
Nd 0.000 2.713 0.000
Nd 2.713 0.000 0.000
Fe 0.000 0.000 0.000